1.
# GGA-PBE BaInIr2, relaxed
data_BaInIr2
_symmetry_space_group_name_H-M 'P 1'
_symmetry_Int_Tables_number 1
_cell_length_a 7.393
_cell_length_b 5.167
_cell_length_c 3.262
_cell_angle_alpha 89.97
_cell_angle_beta 63.86
_cell_angle_gamma 125.19
loop_
_symmetry_equiv_pos_as_xyz
'x,y,z'
loop_
_atom_site_label
_atom_site_type_symbol
_atom_site_fract_x
_atom_site_fract_y
_atom_site_fract_z
Ba1 Ba 0.000 0.500 0.500
In1 In 0.500 0.500 0.000
Ir1 Ir 0.000 0.000 0.000
Ir2 Ir 0.500 0.000 0.500
# **DFT formation energy**: 0.460 eV/atom
# **Space group**: Cmmm


2.
# GGA-PBE BaIn4Ir, relaxed
data_BaIn4Ir
_symmetry_space_group_name_H-M 'P 1'
_symmetry_Int_Tables_number 1
_cell_length_a 6.087
_cell_length_b 6.087
_cell_length_c 6.087
_cell_angle_alpha 60.00
_cell_angle_beta 60.00
_cell_angle_gamma 60.00
loop_
_symmetry_equiv_pos_as_xyz
'x,y,z'
loop_
_atom_site_label
_atom_site_type_symbol
_atom_site_fract_x
_atom_site_fract_y
_atom_site_fract_z
Ba1 Ba 0.000 0.000 0.000
In1 In 0.871 0.376 0.376
In2 In 0.376 0.376 0.871
In3 In 0.376 0.871 0.376
In4 In 0.376 0.376 0.376
Ir1 Ir 0.750 0.750 0.750
# **DFT formation energy**: 0.261 eV/atom
# **Space group**: F-43m


3.
# GGA-PBE BaInIr2, relaxed
data_BaInIr2
_symmetry_space_group_name_H-M 'P 1'
_symmetry_Int_Tables_number 1
_cell_length_a 5.036
_cell_length_b 5.036
_cell_length_c 9.901
_cell_angle_alpha 75.27
_cell_angle_beta 75.27
_cell_angle_gamma 90.00
loop_
_symmetry_equiv_pos_as_xyz
'x,y,z'
loop_
_atom_site_label
_atom_site_type_symbol
_atom_site_fract_x
_atom_site_fract_y
_atom_site_fract_z
Ir1 Ir 0.375 0.125 0.250
Ir2 Ir 0.375 0.625 0.250
Ir3 Ir 0.375 0.625 0.750
Ir4 Ir 0.875 0.625 0.750
Ba1 Ba 0.000 0.000 0.000
Ba2 Ba 0.750 0.250 0.500
In1 In 0.500 0.500 0.000
In2 In 0.250 0.750 0.500
# **DFT formation energy**: 0.115 eV/atom
# **Space group**: I4_1/amd


4.
# GGA-PBE Ba5InIr, relaxed
data_Ba5InIr
_symmetry_space_group_name_H-M 'P 1'
_symmetry_Int_Tables_number 1
_cell_length_a 8.238
_cell_length_b 8.238
_cell_length_c 11.047
_cell_angle_alpha 99.18
_cell_angle_beta 99.18
_cell_angle_gamma 107.32
loop_
_symmetry_equiv_pos_as_xyz
'x,y,z'
loop_
_atom_site_label
_atom_site_type_symbol
_atom_site_fract_x
_atom_site_fract_y
_atom_site_fract_z
Ba1 Ba 0.380 0.240 0.027
Ba2 Ba 0.324 0.934 0.619
Ba3 Ba 0.240 0.380 0.527
Ba4 Ba 0.899 0.101 0.750
Ba5 Ba 0.066 0.676 0.881
Ba6 Ba 0.934 0.324 0.119
Ba7 Ba 0.101 0.899 0.250
Ba8 Ba 0.760 0.620 0.473
Ba9 Ba 0.676 0.066 0.381
Ba10 Ba 0.620 0.760 0.973
In1 In 0.623 0.377 0.750
In2 In 0.377 0.623 0.250
Ir1 Ir 0.000 0.000 0.000
Ir2 Ir 0.000 0.000 0.500
# **DFT formation energy**: -0.172 eV/atom
# **Space group**: C2/c


5.
# GGA-PBE BaInIr3, relaxed
data_BaInIr3
_symmetry_space_group_name_H-M 'P 1'
_symmetry_Int_Tables_number 1
_cell_length_a 5.175
_cell_length_b 5.175
_cell_length_c 5.175
_cell_angle_alpha 90.00
_cell_angle_beta 90.00
_cell_angle_gamma 90.00
loop_
_symmetry_equiv_pos_as_xyz
'x,y,z'
loop_
_atom_site_label
_atom_site_type_symbol
_atom_site_fract_x
_atom_site_fract_y
_atom_site_fract_z
Ir1 Ir 0.000 0.500 0.000
Ir2 Ir 0.000 0.000 0.500
Ir3 Ir 0.500 0.000 0.000
Ba1 Ba 0.000 0.000 0.000
In1 In 0.500 0.500 0.500
# **DFT formation energy**: 2.483 eV/atom
# **Space group**: Pm-3m
# **Polymorph energy (0 for the lowest one)**: 1.3707 eV per atom


6.
# GGA-PBE BaIn9Ir2, relaxed
data_BaIn9Ir2
_symmetry_space_group_name_H-M 'P 1'
_symmetry_Int_Tables_number 1
_cell_length_a 8.412
_cell_length_b 9.314
_cell_length_c 9.314
_cell_angle_alpha 78.23
_cell_angle_beta 63.16
_cell_angle_gamma 63.16
loop_
_symmetry_equiv_pos_as_xyz
'x,y,z'
loop_
_atom_site_label
_atom_site_type_symbol
_atom_site_fract_x
_atom_site_fract_y
_atom_site_fract_z
Ba1 Ba 0.500 0.000 0.000
Ba2 Ba 0.250 0.500 0.500
In1 In 0.750 0.500 0.500
In2 In 0.000 0.000 0.000
In3 In 0.014 0.924 0.680
In4 In 0.617 0.076 0.320
In5 In 0.687 0.180 0.576
In6 In 0.444 0.820 0.424
In7 In 0.736 0.820 0.576
In8 In 0.133 0.180 0.424
In9 In 0.063 0.924 0.320
In10 In 0.306 0.076 0.680
In11 In 0.736 0.576 0.820
In12 In 0.133 0.424 0.180
In13 In 0.063 0.320 0.924
In14 In 0.306 0.680 0.076
In15 In 0.014 0.680 0.924
In16 In 0.617 0.320 0.076
In17 In 0.687 0.576 0.180
In18 In 0.444 0.424 0.820
Ir1 Ir 0.875 0.250 0.750
Ir2 Ir 0.875 0.750 0.250
Ir3 Ir 0.875 0.250 0.250
Ir4 Ir 0.375 0.750 0.750
# **DFT formation energy**: -0.125 eV/atom
# **Space group**: I4_1/amd
# **Polymorph energy (0 for the lowest one)**: 0.1342 eV per atom


7.
# GGA-PBE BaIn2Ir2, relaxed
data_BaIn2Ir2
_symmetry_space_group_name_H-M 'P 1'
_symmetry_Int_Tables_number 1
_cell_length_a 4.707
_cell_length_b 4.707
_cell_length_c 6.441
_cell_angle_alpha 68.57
_cell_angle_beta 68.57
_cell_angle_gamma 90.00
loop_
_symmetry_equiv_pos_as_xyz
'x,y,z'
loop_
_atom_site_label
_atom_site_type_symbol
_atom_site_fract_x
_atom_site_fract_y
_atom_site_fract_z
Ir1 Ir 0.750 0.250 0.500
Ir2 Ir 0.250 0.750 0.500
Ba1 Ba 0.000 0.000 0.000
In1 In 0.365 0.365 0.271
In2 In 0.635 0.635 0.729
# **DFT formation energy**: -0.146 eV/atom
# **Space group**: I4/mmm


8.
# GGA-PBE BaInIr2, relaxed
data_BaInIr2
_symmetry_space_group_name_H-M 'P 1'
_symmetry_Int_Tables_number 1
_cell_length_a 5.985
_cell_length_b 5.985
_cell_length_c 5.606
_cell_angle_alpha 72.99
_cell_angle_beta 72.99
_cell_angle_gamma 29.95
loop_
_symmetry_equiv_pos_as_xyz
'x,y,z'
loop_
_atom_site_label
_atom_site_type_symbol
_atom_site_fract_x
_atom_site_fract_y
_atom_site_fract_z
Ba1 Ba 0.496 0.496 0.518
In1 In 0.298 0.298 0.126
Ir1 Ir 0.008 0.008 0.019
Ir2 Ir 0.697 0.697 0.837
# **DFT formation energy**: 0.235 eV/atom
# **Space group**: Cm